This record from Alexandria describes a geometry-optimized DyHo2Tc structure. The functional is PBE-GGA.

Summary:
- DOS at the Fermi energy: 6.180 states/eV/cell
- Space group: P4/mmm
- ΔE to the lowest computed polymorph: 127.3 meV/atom
- Calculated density: 9.37 g/cm³
- ΔE_f: 0.01 eV/atom

Geometry as extended XYZ:
```
4
Lattice="-1.677 0.444 2.976 -2.981 -0.709 -1.574 1.049 -8.555 1.867" Properties=species:S:1:pos:R:3 pbc="T T T"
Dy -1.805 -4.410 1.634
Ho 0.854 -6.968 1.520
Tc -2.329 -0.133 0.701
Ho 0.195 -1.588 0.346
```

This record from Alexandria describes a geometry-optimized DyHoTc structure. The functional is PBE-GGA.

Summary:
- DOS at the Fermi energy: 6.974 states/eV/cell
- Space group: Cmcm
- ΔE to the lowest computed polymorph: 80.0 meV/atom
- Calculated density: 8.88 g/cm³
- ΔE_f: 0.03 eV/atom

Geometry as extended XYZ:
```
6
Lattice="3.985 0.000 0.000 0.000 4.399 0.000 0.000 2.200 9.070" Properties=species:S:1:pos:R:3 pbc="T T T"
Tc 0.996 2.200 0.655
Dy 0.996 2.200 7.536
Dy 2.989 4.399 1.534
Ho 0.996 2.200 3.585
Tc 2.989 4.399 8.416
Ho 2.989 4.399 5.485
```

This record from Alexandria describes a geometry-optimized Dy2HoTc structure. The functional is PBE-GGA.

Summary:
- DOS at the Fermi energy: 5.965 states/eV/cell
- Space group: R-3m
- ΔE to the lowest computed polymorph: 388.1 meV/atom
- Calculated density: 8.91 g/cm³
- ΔE_f: 0.28 eV/atom

Geometry as extended XYZ:
```
4
Lattice="3.408 0.000 0.000 1.704 2.951 0.000 1.704 0.984 10.894" Properties=species:S:1:pos:R:3 pbc="T T T"
Dy 1.704 0.984 7.479
Tc 3.408 1.967 5.447
Ho 0.000 0.000 0.000
Dy 5.111 2.951 3.415
```

This record from Alexandria describes a geometry-optimized DyHo4Tc2 structure. The functional is PBE-GGA.

Summary:
- DOS at the Fermi energy: 9.846 states/eV/cell
- Space group: P2_1/m
- Calculated density: 9.47 g/cm³
- ΔE_f: -0.04 eV/atom

Geometry as extended XYZ:
```
14
Lattice="-0.597 -5.209 -3.457 4.904 3.003 -5.371 3.805 -4.056 5.454" Properties=species:S:1:pos:R:3 pbc="T T T"
Tc 3.383 -1.775 -6.465
Ho 2.300 -1.867 -0.436
Ho 3.772 0.775 -1.831
Tc 4.728 -4.486 3.091
Tc 3.037 -4.470 -2.345
Ho 6.958 -0.862 -2.754
Ho 4.636 -4.443 0.178
Ho 3.475 -1.818 -3.552
Ho 5.811 -4.395 -2.937
Tc 5.074 -1.792 -1.028
Ho 1.154 -5.399 -0.620
Dy 0.432 -3.543 -3.292
Dy 7.680 -2.718 -0.082
Ho 4.339 -7.036 -1.543
```

This record from Alexandria describes a geometry-optimized Dy2Ho8Tc structure. The functional is PBE-GGA.

Summary:
- DOS at the Fermi energy: 16.693 states/eV/cell
- Space group: C2/m
- Calculated density: 8.98 g/cm³
- ΔE_f: 0.02 eV/atom

Geometry as extended XYZ:
```
11
Lattice="-4.025 3.652 -0.304 -0.726 -0.271 6.348 8.185 5.038 0.899" Properties=species:S:1:pos:R:3 pbc="T T T"
Ho 2.086 6.478 1.475
Ho 3.712 4.591 6.016
Dy 0.731 5.235 4.476
Ho -1.550 2.680 3.969
Ho 3.124 7.945 5.355
Ho -0.278 3.828 0.927
Ho 4.984 5.740 2.974
Dy 2.704 3.185 2.467
Ho 0.310 0.474 1.588
Tc -2.012 1.826 -0.152
Ho 1.348 1.941 5.468
```

This record from Alexandria describes a geometry-optimized DyHoTc structure. The functional is PBE-GGA.

Summary:
- DOS at the Fermi energy: 3.791 states/eV/cell
- Space group: I4mm
- ΔE to the lowest computed polymorph: 0.0 meV/atom
- Calculated density: 9.52 g/cm³
- ΔE_f: -0.05 eV/atom

Geometry as extended XYZ:
```
3
Lattice="3.464 0.000 0.000 0.000 3.464 0.000 -1.732 -1.732 6.184" Properties=species:S:1:pos:R:3 pbc="T T T"
Dy 0.000 0.000 3.680
Tc 1.732 1.732 2.056
Ho 0.000 0.000 0.448
```

This record from Alexandria describes a geometry-optimized DyHoTlTc structure. The functional is PBE-GGA.

Summary:
- DOS at the Fermi energy: 3.295 states/eV/cell
- Space group: F-43m
- Calculated density: 11.27 g/cm³
- ΔE_f: -0.06 eV/atom

Geometry as extended XYZ:
```
4
Lattice="5.082 0.000 0.000 2.541 4.401 0.000 2.541 1.467 4.150" Properties=species:S:1:pos:R:3 pbc="T T T"
Ho 2.541 1.467 1.037
Dy 7.623 4.401 3.112
Tl 0.000 0.000 0.000
Tc 5.082 2.934 2.075
```

This record from Alexandria describes a geometry-optimized DyHoTe structure. The functional is PBE-GGA.

Summary:
- DOS at the Fermi energy: 7.643 states/eV/cell
- Space group: Pnma
- ΔE to the lowest computed polymorph: 0.0 meV/atom
- Calculated density: 8.82 g/cm³

Geometry as extended XYZ:
```
12
Lattice="-3.126 -2.358 0.329 3.258 -3.377 6.746 -4.860 7.278 5.990" Properties=species:S:1:pos:R:3 pbc="T T T"
Ho -4.860 5.755 6.799
Te -2.211 2.752 10.448
Te -1.666 -1.732 6.950
Ho 0.132 -4.211 6.266
Dy 0.067 -1.109 4.419
Te -2.517 -1.209 2.618
Dy -2.430 1.880 2.116
Te -3.062 3.276 6.116
Dy -4.795 2.652 8.647
Ho -1.341 1.235 7.842
Ho -3.388 0.309 5.223
Dy -2.298 -0.336 10.950
```

This record from Alexandria describes a geometry-optimized Dy2Ho3Te2 structure. The functional is PBE-GGA.

Summary:
- DOS at the Fermi energy: 6.969 states/eV/cell
- Space group: C2/m
- Calculated density: 8.79 g/cm³
- Total DFT energy (no corrections): -34.10 eV per cell

Geometry as extended XYZ:
```
7
Lattice="-1.561 -1.088 3.468 6.664 0.860 1.013 -4.066 7.432 0.500" Properties=species:S:1:pos:R:3 pbc="T T T"
Dy -1.643 6.029 1.151
Te -0.253 5.556 3.884
Dy 2.679 1.176 3.831
Ho 2.235 4.370 2.376
Ho -0.781 -0.544 1.734
Te 1.289 1.649 1.097
Ho -1.199 2.835 2.605
```

This record from Alexandria describes a geometry-optimized Dy4HoTe5 structure. The functional is PBE-GGA.

Summary:
- DOS at the Fermi energy: 5.336 states/eV/cell
- Space group: I4/mmm
- Calculated density: 8.30 g/cm³
- Total DFT energy (no corrections): -51.39 eV per cell

Geometry as extended XYZ:
```
10
Lattice="-0.013 -2.597 3.486 -3.292 -2.271 -1.704 11.698 -6.927 -7.827" Properties=species:S:1:pos:R:3 pbc="T T T"
Dy 4.360 -8.037 -3.260
Te 6.383 -9.922 -4.657
Dy 0.348 -4.298 -0.490
Te 2.356 -6.169 -1.876
Te -1.653 -2.434 0.891
Dy 4.032 -3.758 -2.784
Ho 0.000 0.000 0.000
Dy 8.045 -7.497 -5.554
Te 6.037 -5.626 -4.168
Te 2.010 -1.873 -1.387
```

This record from Alexandria describes a geometry-optimized DyHo2Te3 structure. The functional is PBE-GGA.

Summary:
- DOS at the Fermi energy: 9.345 states/eV/cell
- Space group: R-3c
- ΔE to the lowest computed polymorph: 0.0 meV/atom
- Calculated density: 8.31 g/cm³

Geometry as extended XYZ:
```
12
Lattice="-0.741 4.938 -5.226 -6.506 2.811 -1.419 -1.103 8.213 2.918" Properties=species:S:1:pos:R:3 pbc="T T T"
Te -3.606 7.740 1.166
Ho -6.592 10.560 -4.082
Te -6.016 10.332 -1.059
Ho -4.830 5.170 -4.427
Te -2.334 5.631 -2.668
Dy -4.175 7.981 -1.864
Te -6.432 5.868 -1.880
Ho -3.519 10.792 0.699
Dy 0.000 0.000 0.000
Ho -1.758 5.402 0.355
Te -1.918 10.094 -1.848
Te -4.744 8.222 -4.893
```

This record from Alexandria describes a geometry-optimized DyHo2Te structure. The functional is PBE-GGA.

Summary:
- DOS at the Fermi energy: 4.718 states/eV/cell
- Space group: R3m
- ΔE to the lowest computed polymorph: 120.5 meV/atom
- Calculated density: 8.20 g/cm³

Geometry as extended XYZ:
```
4
Lattice="3.860 0.000 0.000 1.930 3.343 0.000 1.930 1.114 9.728" Properties=species:S:1:pos:R:3 pbc="T T T"
Ho 1.930 1.114 7.606
Dy 3.860 2.229 4.871
Te 3.860 2.229 0.001
Ho 1.930 1.114 2.114
```

This record from Alexandria describes a geometry-optimized DyHoTe structure. The functional is PBE-GGA.

Summary:
- DOS at the Fermi energy: 1.895 states/eV/cell
- Space group: I4mm
- ΔE to the lowest computed polymorph: 71.3 meV/atom
- Calculated density: 8.82 g/cm³

Geometry as extended XYZ:
```
3
Lattice="-1.633 -1.258 3.255 -0.559 -3.453 -1.615 6.256 0.623 1.099" Properties=species:S:1:pos:R:3 pbc="T T T"
Te 0.633 -2.936 1.463
Dy 0.105 -0.035 0.039
Ho 3.327 -1.117 1.238
```

This record from Alexandria describes a geometry-optimized DyHo5Te6 structure. The functional is PBE-GGA.

Summary:
- DOS at the Fermi energy: 5.801 states/eV/cell
- Space group: C2/m
- Calculated density: 8.41 g/cm³
- Total DFT energy (no corrections): -61.35 eV per cell

Geometry as extended XYZ:
```
12
Lattice="7.497 0.215 0.000 2.317 7.137 0.000 1.159 3.568 6.527" Properties=species:S:1:pos:R:3 pbc="T T T"
Te 3.617 5.399 2.186
Ho 1.159 3.568 2.173
Te 7.356 5.521 4.341
Te 6.197 1.953 2.186
Te 2.454 1.848 0.000
Ho 4.907 3.676 4.373
Ho 4.907 3.676 0.000
Ho 2.317 7.137 4.354
Ho 6.066 7.244 2.154
Te 4.776 8.968 4.341
Te 7.360 5.504 0.000
Dy 0.000 0.000 0.000
```

This record from Alexandria describes a geometry-optimized DyHo2Te structure. The functional is PBE-GGA.

Summary:
- DOS at the Fermi energy: 9.855 states/eV/cell
- Space group: Cmcm
- ΔE to the lowest computed polymorph: 0.0 meV/atom
- Calculated density: 8.86 g/cm³

Geometry as extended XYZ:
```
8
Lattice="-2.377 -1.159 -2.901 0.656 -4.839 4.051 -7.758 3.200 5.080" Properties=species:S:1:pos:R:3 pbc="T T T"
Dy -5.878 1.791 4.102
Ho -1.618 -1.923 -0.563
Te -2.190 -1.745 2.491
Ho -4.553 -2.239 4.626
Te -7.290 -1.052 3.738
Ho -4.926 -0.558 1.603
Ho -7.862 -0.875 6.792
Dy -3.601 -4.588 2.127
```

This record from Alexandria describes a geometry-optimized Dy2HoTe3 structure. The functional is PBE-GGA.

Summary:
- DOS at the Fermi energy: 9.357 states/eV/cell
- Space group: R-3c
- ΔE to the lowest computed polymorph: 0.0 meV/atom
- Calculated density: 8.25 g/cm³

Geometry as extended XYZ:
```
12
Lattice="-4.755 3.795 3.924 0.998 0.787 7.126 2.835 7.976 2.399" Properties=species:S:1:pos:R:3 pbc="T T T"
Dy -1.251 1.530 3.683
Te -3.063 5.929 8.356
Te 2.141 6.629 5.093
Te 0.898 8.150 8.775
Dy 0.329 11.028 9.766
Te -1.819 4.407 4.673
Dy -1.711 7.809 10.407
Dy 0.790 4.749 3.042
Te -1.356 8.894 5.341
Ho -0.461 6.279 6.724
Ho 0.000 0.000 0.000
Te 0.434 3.663 8.107
```

This record from Alexandria describes a geometry-optimized DyHoTe structure. The functional is PBE-GGA.

Summary:
- DOS at the Fermi energy: 6.338 states/eV/cell
- Space group: P-1
- ΔE to the lowest computed polymorph: 69.9 meV/atom
- Calculated density: 8.21 g/cm³

Geometry as extended XYZ:
```
6
Lattice="3.976 -0.054 -0.409 -1.964 5.764 -0.299 -1.150 -3.020 8.451" Properties=species:S:1:pos:R:3 pbc="T T T"
Ho 0.618 3.192 5.304
Dy 2.032 1.557 0.025
Dy -1.169 1.133 7.718
Te 0.592 -0.122 5.467
Ho 0.245 -0.502 2.440
Te 0.271 2.812 2.276
```

This record from Alexandria describes a geometry-optimized Dy2Ho3Te8 structure. The functional is PBE-GGA.

Summary:
- DOS at the Fermi energy: 5.937 states/eV/cell
- Space group: C2/m
- Calculated density: 6.52 g/cm³
- Total DFT energy (no corrections): -64.31 eV per cell

Geometry as extended XYZ:
```
13
Lattice="7.470 0.000 0.287 0.000 8.666 0.000 -2.705 -4.333 7.142" Properties=species:S:1:pos:R:3 pbc="T T T"
Te 2.341 2.181 5.574
Te -1.319 0.000 5.493
Te 6.085 4.333 1.936
Ho 0.000 2.230 0.000
Te 2.425 6.514 1.854
Te 2.341 -2.181 5.574
Ho 0.000 6.437 0.000
Te 2.425 2.152 1.854
Dy 1.115 0.000 3.674
Dy 3.651 4.333 3.754
Te -1.416 4.333 5.440
Te 6.182 0.000 1.988
Ho 3.735 0.000 0.143
```

This record from Alexandria describes a geometry-optimized DyHo2Te3 structure. The functional is PBE-GGA.

Summary:
- DOS at the Fermi energy: 2.829 states/eV/cell
- Space group: Immm
- ΔE to the lowest computed polymorph: 23.3 meV/atom
- Calculated density: 8.38 g/cm³

Geometry as extended XYZ:
```
6
Lattice="4.370 0.000 0.000 0.000 6.118 0.000 -2.185 -3.059 6.486" Properties=species:S:1:pos:R:3 pbc="T T T"
Te -1.092 1.529 5.424
Dy 1.092 1.529 3.243
Te 1.092 -1.529 3.243
Te 3.277 1.529 1.062
Ho 3.277 4.588 1.106
Ho -1.092 -1.529 5.380
```

This record from Alexandria describes a geometry-optimized Dy3HoTe6 structure. The functional is PBE-GGA.

Summary:
- DOS at the Fermi energy: 0.000 states/eV/cell
- Space group: R-3
- ΔE to the lowest computed polymorph: 30.3 meV/atom
- Calculated density: 6.45 g/cm³

Geometry as extended XYZ:
```
20
Lattice="-3.431 -4.349 -7.098 4.027 -7.557 2.784 -7.307 -2.008 4.862" Properties=species:S:1:pos:R:3 pbc="T T T"
Te -5.715 -4.609 4.673
Ho 0.000 0.000 0.000
Te -1.506 -5.804 -1.810
Te -8.644 -5.460 -0.199
Te -1.445 -5.675 2.223
Te -5.070 -5.290 -4.697
Dy -3.505 -3.345 2.887
Te -5.205 -8.109 2.358
Te -0.996 -9.304 -4.125
Te 1.933 -8.453 0.747
Ho -3.356 -6.956 0.274
Te -2.089 -9.691 0.342
Dy -3.297 -10.305 3.219
Dy 0.881 -5.564 0.277
Te -5.267 -8.238 -1.674
Dy -3.207 -10.568 -2.339
Te -4.623 -4.222 0.206
Dy -7.593 -8.349 0.271
Te -1.641 -8.623 5.245
Dy -3.414 -3.608 -2.671
```